(P)
A plane-wave DFT calculation with PBE-GGA was carried out for a geometry-optimized ErZrOsRh structure.

The structure belongs to space group F-43m (No. 216); the cell edges are 6.671, 6.671 and 6.671 Å and the angles 90.00°, 90.00° and 90.00°. Symmetry generates all atoms from Er at (0.000, 0.000, 0.000), Zr at (0.000, 0.000, 0.500), Os at (0.250, 0.250, 0.750) and Rh at (0.250, 0.250, 0.250).

The density of states at the Fermi level is 0.2864 states/eV per atom. The theoretical density is 12.34 g/cm³.

=====

(Q)
A plane-wave DFT calculation with PBE-GGA was carried out for a geometry-optimized ErZrOsRh structure.

The structure belongs to space group P4mm (No. 99); the cell edges are 3.344, 3.344 and 6.670 Å and the angles 90.00°, 90.00° and 90.00°. Symmetry generates all atoms from Er at (0.000, 0.000, 0.000), Zr at (0.000, 0.000, 0.503), Os at (0.500, 0.500, 0.733) and Rh at (0.500, 0.500, 0.262).

The density of states at the Fermi level is 0.3053 states/eV per atom. The theoretical density is 12.28 g/cm³.

=====

Most stable: (Q). Least stable: (P).

=====

(P)
A plane-wave DFT calculation with PBE-GGA was carried out for a geometry-optimized Er8Os2Ru structure.

The structure belongs to space group C2/m (No. 12); the cell edges are 17.306, 4.721 and 6.878 Å and the angles 90.00°, 107.43° and 90.00°. Symmetry generates all atoms from Er at (0.030, 0.000, 0.294), Er at (0.098, 0.500, 0.962), Er at (0.168, 0.500, 0.462), Er at (0.205, 0.000, 0.813), Os at (0.184, 0.000, 0.199) and Ru at (0.000, 0.500, 0.500).

The density of states at the Fermi level is 0.8794 states/eV per atom. The theoretical density is 11.27 g/cm³.

=====

(Q)
A plane-wave DFT calculation with PBE-GGA was carried out for a geometry-optimized Er8Os2Ru structure.

The structure belongs to space group Cm (No. 8); the cell edges are 8.297, 12.541 and 5.676 Å and the angles 90.00°, 109.35° and 90.00°. Symmetry generates all atoms from Er at (0.000, 0.000, 0.000), Er at (0.064, 0.371, 0.792), Er at (0.156, 0.129, 0.596), Er at (0.217, 0.500, 0.383), Er at (0.361, 0.213, 0.193), Os at (0.358, 0.310, 0.690) and Ru at (0.359, 0.000, 0.162).

The density of states at the Fermi level is 0.5677 states/eV per atom. The theoretical density is 10.85 g/cm³.

=====

Most stable: (P). Least stable: (Q).

=====

(P)
A plane-wave DFT calculation with PBE-GGA was carried out for a geometry-optimized ErZrOsRu structure.

The structure belongs to space group P4mm (No. 99); the cell edges are 3.315, 3.315 and 6.704 Å and the angles 90.00°, 90.00° and 90.00°. Symmetry generates all atoms from Er at (0.000, 0.000, 0.000), Zr at (0.000, 0.000, 0.500), Os at (0.500, 0.500, 0.735) and Ru at (0.500, 0.500, 0.263).

The density of states at the Fermi level is 0.6447 states/eV per atom. The theoretical density is 12.39 g/cm³.

=====

(Q)
A plane-wave DFT calculation with PBE-GGA was carried out for a geometry-optimized ErZrOsRu structure.

The structure belongs to space group F-43m (No. 216); the cell edges are 6.646, 6.646 and 6.646 Å and the angles 90.00°, 90.00° and 90.00°. Symmetry generates all atoms from Er at (0.000, 0.000, 0.000), Zr at (0.000, 0.000, 0.500), Os at (0.250, 0.250, 0.750) and Ru at (0.250, 0.250, 0.250).

The density of states at the Fermi level is 0.5898 states/eV per atom. The theoretical density is 12.44 g/cm³.

=====

Most stable: (P). Least stable: (Q).

=====

(P)
A plane-wave DFT calculation with PBE-GGA was carried out for a geometry-optimized Er4SbOs structure.

The structure belongs to space group P2_1/m (No. 11); the cell edges are 6.033, 6.509 and 8.166 Å and the angles 90.00°, 92.12° and 90.00°. Symmetry generates all atoms from Er at (0.111, 0.001, 0.213), Er at (0.346, 0.250, 0.626), Er at (0.389, 0.750, 0.909), Sb at (0.195, 0.750, 0.545) and Os at (0.198, 0.250, 0.940).

The density of states at the Fermi level is 0.6350 states/eV per atom. The theoretical density is 10.17 g/cm³.

=====

(Q)
A plane-wave DFT calculation with PBE-GGA was carried out for a geometry-optimized Er4SbOs structure.

The structure belongs to space group C2/m (No. 12); the cell edges are 6.833, 6.833 and 7.342 Å and the angles 90.00°, 90.21° and 90.00°. Symmetry generates all atoms from Er at (0.249, 0.250, 0.220), Sb at (0.000, 0.000, 0.500) and Os at (0.000, 0.500, 0.000).

The density of states at the Fermi level is 0.9751 states/eV per atom. The theoretical density is 9.51 g/cm³.

=====

Most stable: (P). Least stable: (Q).

=====

(P)
A plane-wave DFT calculation with PBE-GGA was carried out for a geometry-optimized ErSc2Os structure.

The structure belongs to space group P4/mmm (No. 123); the cell edges are 3.250, 3.250 and 8.469 Å and the angles 90.00°, 90.00° and 90.00°. Symmetry generates all atoms from Er at (0.000, 0.000, 0.000), Sc at (0.500, 0.500, 0.318) and Os at (0.000, 0.000, 0.500).

The density of states at the Fermi level is 0.8651 states/eV per atom. The theoretical density is 8.30 g/cm³.

=====

(Q)
A plane-wave DFT calculation with PBE-GGA was carried out for a geometry-optimized ErSc2Os structure.

The structure belongs to space group Cmcm (No. 63); the cell edges are 3.912, 11.035 and 8.435 Å and the angles 90.00°, 90.00° and 90.00°. Symmetry generates all atoms from Er at (0.000, 0.065, 0.250), Sc at (0.000, 0.352, 0.064) and Os at (0.000, 0.248, 0.750).

The density of states at the Fermi level is 1.1906 states/eV per atom. The theoretical density is 8.16 g/cm³.

=====

(R)
A plane-wave DFT calculation with PBE-GGA was carried out for a geometry-optimized ErSc2Os structure.

The structure belongs to space group R-3m (No. 166, hexagonal axes); the cell edges are 3.1741, 3.1741 and 31.3845 Å and the angles 90.00°, 90.00° and 120.00°. Symmetry generates all atoms from Er at (0.0000, 0.0000, 0.0000), Sc at (0.0000, 0.0000, 0.1031) and Os at (0.0000, 0.0000, 0.5000).

The density of states at the Fermi level is 1.5042 states/eV per atom. The theoretical density is 8.14 g/cm³.

=====

Most stable: (Q). Least stable: (R).

=====

(P)
A plane-wave DFT calculation with PBE-GGA was carried out for a geometry-optimized Er2ScOs structure.

The structure belongs to space group R-3m (No. 166, hexagonal axes); the cell edges are 3.2956, 3.2956 and 31.5400 Å and the angles 90.00°, 90.00° and 120.00°. Symmetry generates all atoms from Er at (0.0000, 0.0000, 0.1009), Sc at (0.0000, 0.0000, 0.0000) and Os at (0.0000, 0.0000, 0.5000).

The density of states at the Fermi level is 1.3407 states/eV per atom. The theoretical density is 9.57 g/cm³.

=====

(Q)
A plane-wave DFT calculation with PBE-GGA was carried out for a geometry-optimized Er2ScOs structure.

The structure belongs to space group P4/mmm (No. 123); the cell edges are 3.384, 3.384 and 8.485 Å and the angles 90.00°, 90.00° and 90.00°. Symmetry generates all atoms from Er at (0.000, 0.000, 0.193), Sc at (0.500, 0.500, 0.500) and Os at (0.500, 0.500, 0.000).

The density of states at the Fermi level is 0.9787 states/eV per atom. The theoretical density is 9.74 g/cm³.

=====

Most stable: (Q). Least stable: (P).